## a
{
  "formula": "NbInFeAu",
  "functional": "PBE",
  "state": "optimized geometry",
  "lattice": [[0.000, 3.264, 3.264], [3.264, 0.000, 3.264], [3.264, 3.264, 0.000]],
  "species": ["Nb", "In", "Fe", "Au"],
  "fractional_positions": [[0.000, 0.000, 0.000], [0.250, 0.250, 0.250], [0.500, 0.500, 0.500], [0.750, 0.750, 0.750]],
  "volume_a3_per_cell": 70,
  "magmom_total_mub_per_cell": 1.78,
  "mass_density_g_cm3": 10.99
}

***

## b
{
  "formula": "NbInFeAu",
  "functional": "PBE",
  "state": "optimized geometry",
  "lattice": [[0.000, 3.257, 3.257], [3.257, 0.000, 3.257], [3.257, 3.257, 0.000]],
  "species": ["Nb", "In", "Fe", "Au"],
  "fractional_positions": [[0.000, 0.000, 0.000], [0.500, 0.500, 0.500], [0.750, 0.750, 0.750], [0.250, 0.250, 0.250]],
  "volume_a3_per_cell": 69,
  "magmom_total_mub_per_cell": 1.52,
  "mass_density_g_cm3": 11.07
}

***

Q: Which of them is the least stable? A: a.

***

## a
{
  "formula": "YInFeAu",
  "functional": "PBE",
  "state": "optimized geometry",
  "lattice": [[0.000, 3.397, 3.397], [3.397, 0.000, 3.397], [3.397, 3.397, 0.000]],
  "species": ["Y", "In", "Fe", "Au"],
  "fractional_positions": [[0.000, 0.000, 0.000], [0.250, 0.250, 0.250], [0.500, 0.500, 0.500], [0.750, 0.750, 0.750]],
  "volume_a3_per_cell": 78,
  "magmom_total_mub_per_cell": 2.70,
  "mass_density_g_cm3": 9.67
}

***

## b
{
  "formula": "YInFeAu",
  "functional": "PBE",
  "state": "optimized geometry",
  "lattice": [[0.000, 3.362, 3.362], [3.362, 0.000, 3.362], [3.362, 3.362, 0.000]],
  "species": ["Y", "In", "Fe", "Au"],
  "fractional_positions": [[0.000, 0.000, 0.000], [0.500, 0.500, 0.500], [0.750, 0.750, 0.750], [0.250, 0.250, 0.250]],
  "volume_a3_per_cell": 76,
  "magmom_total_mub_per_cell": 2.25,
  "mass_density_g_cm3": 9.97
}

***

Q: Which of them is the least stable? A: a.

***

## a
{
  "formula": "LuFeSbAu",
  "functional": "PBE",
  "state": "optimized geometry",
  "lattice": [[0.000, 3.386, 3.386], [3.386, 0.000, 3.386], [3.386, 3.386, 0.000]],
  "species": ["Lu", "Fe", "Sb", "Au"],
  "fractional_positions": [[0.000, 0.000, 0.000], [0.750, 0.750, 0.750], [0.500, 0.500, 0.500], [0.250, 0.250, 0.250]],
  "volume_a3_per_cell": 78,
  "magmom_total_mub_per_cell": 2.11,
  "mass_density_g_cm3": 11.76
}

***

## b
{
  "formula": "LuFeSbAu",
  "functional": "PBE",
  "state": "optimized geometry",
  "lattice": [[0.000, 3.423, 3.423], [3.423, 0.000, 3.423], [3.423, 3.423, 0.000]],
  "species": ["Lu", "Fe", "Sb", "Au"],
  "fractional_positions": [[0.000, 0.000, 0.000], [0.500, 0.500, 0.500], [0.250, 0.250, 0.250], [0.750, 0.750, 0.750]],
  "volume_a3_per_cell": 80,
  "magmom_total_mub_per_cell": 2.83,
  "mass_density_g_cm3": 11.38
}

***

Q: Which of them is the least stable? A: a.

***

## a
{
  "formula": "LuTlFeAu",
  "functional": "PBE",
  "state": "optimized geometry",
  "lattice": [[0.000, 3.428, 3.428], [3.428, 0.000, 3.428], [3.428, 3.428, 0.000]],
  "species": ["Lu", "Tl", "Fe", "Au"],
  "fractional_positions": [[0.000, 0.000, 0.000], [0.250, 0.250, 0.250], [0.500, 0.500, 0.500], [0.750, 0.750, 0.750]],
  "volume_a3_per_cell": 81,
  "magmom_total_mub_per_cell": 2.68,
  "mass_density_g_cm3": 13.03
}

***

## b
{
  "formula": "LuTlFeAu",
  "functional": "PBE",
  "state": "optimized geometry",
  "lattice": [[0.000, 3.408, 3.408], [3.408, 0.000, 3.408], [3.408, 3.408, 0.000]],
  "species": ["Lu", "Tl", "Fe", "Au"],
  "fractional_positions": [[0.000, 0.000, 0.000], [0.500, 0.500, 0.500], [0.750, 0.750, 0.750], [0.250, 0.250, 0.250]],
  "volume_a3_per_cell": 79,
  "magmom_total_mub_per_cell": 2.21,
  "mass_density_g_cm3": 13.26
}

***

Q: Which of them is the least stable? A: b.